1.
Computed, not measured: BaCa2Ta after structural relaxation at the GGA-PBEsol level of DFT.

Properties
**Mass density**: 4.98 g/cm³
**Formation energy**: 790 meV/atom
**Raw total energy**: -3.9519 eV/atom
**SG**: Immm
**Total magnetization**: 0.00 Bohr magnetons per cell

a = 3.4401 Å, b = 6.0098 Å, c = 7.2993 Å
α = 114.31°, β = 103.63°, γ = 90.00°
Last column: nearest neighbours and their distance in Å.
Positions (direct):
Ba  0.0000  0.5000  0.0000  2 Ba 3.44, 4 Ta 3.46
Ca  0.7952  0.7952  0.5903  2 Ta 3.14, 2 Ca 3.44
Ca  0.2048  0.2048  0.4097  2 Ta 3.14, 2 Ca 3.44
Ta  0.5000  0.0000  0.0000  4 Ca 3.14, 2 Ta 3.44, 4 Ba 3.46

2.
Computed, not measured: CdPRhCl2 after structural relaxation at the GGA-PBEsol level of DFT.

Properties
**Mass density**: 4.35 g/cm³
**E_form (uncorrected)**: 0.969 eV per atom
**Raw total energy**: -2.8592 eV/atom
**SG**: P4/mmm
**Total magnetization**: 2.29 Bohr magnetons per cell

a = 4.8517 Å, b = 4.8517 Å, c = 5.1390 Å
α = 90.00°, β = 90.00°, γ = 90.00°
Last column: nearest neighbours and their distance in Å.
Positions (direct):
Cl  0.0000  0.5000  0.0000  2 Cd 2.43
Cl  0.5000  0.0000  0.0000  2 Cd 2.43
P  0.0000  0.0000  0.5000  2 Cd 2.57
Cd  0.0000  0.0000  0.0000  4 Cl 2.43, 2 P 2.57
Rh  0.5000  0.5000  0.5000  4 P 3.43, 8 Cl 3.53

3.
Computed, not measured: Zr2CdMo after structural relaxation at the GGA-PBEsol level of DFT.

Properties
**Mass density**: 8.36 g/cm³
**Formation energy**: 24 meV/atom
**Raw total energy**: -7.7617 eV/atom
**SG**: P2/m
**Total magnetization**: 0.00 Bohr magnetons per cell

a = 2.9664 Å, b = 4.3523 Å, c = 6.1308 Å
α = 90.00°, β = 101.37°, γ = 90.00°
Last column: nearest neighbours and their distance in Å.
Positions (direct):
Zr  0.8879  0.0000  0.7306  2 Mo 2.72, 3 Zr 2.97-3.03
Zr  0.1121  0.0000  0.2694  2 Mo 2.72, 3 Zr 2.97-3.03
Mo  0.5000  0.5000  0.5000  4 Zr 2.72, 2 Mo 2.97
Cd  0.5000  0.5000  0.0000  2 Cd 2.97, 2 Mo 3.07, 8 Zr 3.09

4.
Computed, not measured: NiSI3 after structural relaxation at the GGA-PBEsol level of DFT.

Properties
**Mass density**: 5.06 g/cm³
**E_form (uncorrected)**: 0.893 eV per atom
**Raw total energy**: -2.2755 eV/atom
**SG**: Pm-3m
**Total magnetization**: 1.04 Bohr magnetons per cell

a = 5.3681 Å, b = 5.3681 Å, c = 5.3681 Å
α = 90.00°, β = 90.00°, γ = 90.00°
Last column: nearest neighbours and their distance in Å.
Positions (direct):
I  0.0000  0.5000  0.0000  2 S 2.68
I  0.0000  0.0000  0.5000  2 S 2.68
I  0.5000  0.0000  0.0000  2 S 2.68
S  0.0000  0.0000  0.0000  6 I 2.68
Ni  0.5000  0.5000  0.5000  12 I 3.80

5.
Computed, not measured: CsAsHBr2 after structural relaxation at the GGA-PBEsol level of DFT.

Properties
**Mass density**: 1.70 g/cm³
**Raw total energy**: -1.8479 eV/atom
**SG**: P4/mmm
**Total magnetization**: 4.86 Bohr magnetons per cell

a = 6.7386 Å, b = 6.7386 Å, c = 7.9183 Å
α = 90.00°, β = 90.00°, γ = 90.00°
Last column: nearest neighbours and their distance in Å.
Positions (direct):
H  0.5000  0.5000  0.5000  4 As 4.76, 8 Br 5.20
Br  0.0000  0.5000  0.0000  2 Cs 3.37
Br  0.5000  0.0000  0.0000  2 Cs 3.37
As  0.0000  0.0000  0.5000  2 Cs 3.96
Cs  0.0000  0.0000  0.0000  4 Br 3.37

6.
Computed, not measured: RbHf2Zr after structural relaxation at the GGA-PBEsol level of DFT.

Properties
**Mass density**: 9.11 g/cm³
**Formation energy**: 1192 meV/atom
**Raw total energy**: -6.5884 eV/atom
**SG**: Fm-3m
**Total magnetization**: 0.00 Bohr magnetons per cell

a = 5.1622 Å, b = 5.1622 Å, c = 5.1622 Å
α = 60.00°, β = 60.00°, γ = 60.00°
Last column: nearest neighbours and their distance in Å.
Positions (direct):
Zr  0.5000  0.5000  0.5000  8 Hf 3.16
Rb  0.0000  0.0000  0.0000  8 Hf 3.16
Hf  0.2500  0.2500  0.2500  4 Rb 3.16, 4 Zr 3.16
Hf  0.7500  0.7500  0.7500  4 Zr 3.16, 4 Rb 3.16